[1]
# CaHgCl

Crystalline CaHgCl at its relaxed geometry (PBE, Alexandria).

Lattice parameters (Å, degrees): 5.012 5.012 5.012 60.00 60.00 60.00
Fractional positions:
Ca 0.000 0.000 0.000
Hg 0.500 0.500 0.500
Cl 0.750 0.750 0.750

Output
ΔE_f (raw) ... -0.80 eV/atom
Calculated total energy ... -2.184 eV/atom
Relative energy among the computed polymorphs ... 396 meV per atom
SG ... No. 216
M_tot ... 0.15 μB/atom

=====

[2]
# Co2H4Rh

Crystalline Co2H4Rh at its relaxed geometry (PBE, Alexandria).

Lattice parameters (Å, degrees): 5.655 5.655 5.655 147.05 147.05 47.29
Fractional positions:
Co 0.179 0.179 0.000
Co 0.821 0.821 0.000
H 0.000 0.500 0.500
H 0.331 0.331 0.000
H 0.500 0.000 0.500
H 0.669 0.669 0.000
Rh 0.500 0.500 0.000

Output
Calculated total energy ... -4.709 eV/atom
SG ... No. 139
M_tot ... 0.46 μB/atom

=====

[3]
# BaBeGa

Crystalline BaBeGa at its relaxed geometry (PBE, Alexandria).

Lattice parameters (Å, degrees): 4.466 4.466 10.115 93.27 93.27 61.78
Fractional positions:
Ba 0.161 0.161 0.294
Ba 0.839 0.839 0.706
Be 0.257 0.743 0.000
Be 0.743 0.257 0.000
Ga 0.238 0.238 0.923
Ga 0.762 0.762 0.077

Output
Calculated total energy ... -3.014 eV/atom
Relative energy among the computed polymorphs ... 43 meV per atom
SG ... No. 12
M_tot ... 0.00 μB/atom

=====

[4]
# BaY2W

Crystalline BaY2W at its relaxed geometry (PBE, Alexandria).

Lattice parameters (Å, degrees): 3.541 3.541 10.169 90.00 90.00 90.00
Fractional positions:
Ba 0.000 0.000 0.000
Y 0.500 0.500 0.331
Y 0.500 0.500 0.669
W 0.000 0.000 0.500

Output
Calculated total energy ... -6.484 eV/atom
Relative energy among the computed polymorphs ... 0 meV per atom
SG ... No. 123
M_tot ... 0.00 μB/atom

=====

Look up the M_tot of the third one.
0.00 μB/atom

=====

Please write out number 3 again, unchanged.
# BaBeGa

Crystalline BaBeGa at its relaxed geometry (PBE, Alexandria).

Lattice parameters (Å, degrees): 4.466 4.466 10.115 93.27 93.27 61.78
Fractional positions:
Ba 0.161 0.161 0.294
Ba 0.839 0.839 0.706
Be 0.257 0.743 0.000
Be 0.743 0.257 0.000
Ga 0.238 0.238 0.923
Ga 0.762 0.762 0.077

Output
Calculated total energy ... -3.014 eV/atom
Relative energy among the computed polymorphs ... 43 meV per atom
SG ... No. 12
M_tot ... 0.00 μB/atom

=====

What is the formula in the third record?
BaBeGa

=====

Number 4 is which compound?
BaY2W